(1)
Material: Tl2GaOs2
Method: DFT, PBE-GGA
State: optimized geometry

POSCAR file:
```
Tl2GaOs2
1.0
-0.166 5.281 1.089
-4.963 0.275 -2.095
-4.042 2.030 2.898
Tl Os Ga
2 2 1
Direct
0.250 0.750 0.500
0.750 0.250 0.500
0.654 0.654 0.691
0.346 0.346 0.309
0.000 0.000 0.000
```

Calculated values
The space group is No. 139.

(2)
Material: Tl2GaOs2
Method: DFT, PBE-GGA
State: optimized geometry

POSCAR file:
```
Tl2GaOs2
1.0
6.596 0.000 0.000
0.000 6.596 0.000
0.000 0.000 4.419
Os Tl Ga
4 4 2
Direct
0.136 0.364 0.000
0.364 0.864 0.000
0.864 0.636 0.000
0.636 0.136 0.000
0.826 0.326 0.500
0.326 0.174 0.500
0.674 0.826 0.500
0.174 0.674 0.500
0.000 0.000 0.000
0.500 0.500 0.000
```

Calculated values
The space group is No. 127.

(3)
Material: TlGaOs2
Method: DFT, PBE-GGA
State: optimized geometry

POSCAR file:
```
TlGaOs2
1.0
-2.827 1.834 2.544
1.605 -2.097 3.295
5.217 6.732 4.448
Os Tl Ga
4 2 2
Direct
0.238 0.625 0.250
0.375 0.488 0.750
0.875 0.762 0.750
0.512 0.125 0.250
0.000 0.000 0.000
0.750 0.250 0.500
0.250 0.750 0.500
0.500 0.500 0.000
```

Calculated values
The space group is No. 122.

(4)
Material: TlGaOs2
Method: DFT, PBE-GGA
State: optimized geometry

POSCAR file:
```
TlGaOs2
1.0
-0.871 -1.121 4.285
-4.174 -1.222 1.209
-0.872 -4.296 1.076
Tl Os Ga
1 2 1
Direct
0.500 0.500 0.500
0.750 0.750 0.750
0.250 0.250 0.250
0.000 0.000 0.000
```

Calculated values
The space group is No. 225.

The calculation returns the following D(E_F) values, one per record and in order: 1.034 0.474 0.766 1.461 states/eV/atom.
The calculation returns the following formation energy from the elements values, one per record and in order: 928 594 832 801 meV/atom.
The calculation returns the following total magnetization values, one per record and in order: 0.00 0.00 0.00 0.00 μB/atom.